Below is a crystal of Ho3SbO3 relaxed with PBEsol, with properties calculated at the SCAN level.

CIF file:
```
data_Ho3SbO3
_cell_length_a 12.8670
_cell_length_b 3.8143
_cell_length_c 11.5083
_cell_angle_alpha 90.00
_cell_angle_beta 118.56
_cell_angle_gamma 90.00
_space_group_name_H-M_alt 'C 1 2/m 1'
_space_group_IT_number 12
loop_
_space_group_symop_operation_xyz
'x,y,z'
'-x,-y,-z'
'-x,y,-z'
'x,-y,z'
'x+1/2,y+1/2,z'
'-x+1/2,-y+1/2,-z'
'-x+1/2,y+1/2,-z'
'x+1/2,-y+1/2,z'
loop_
_atom_site_label
_atom_site_fract_x
_atom_site_fract_y
_atom_site_fract_z
Ho1 0.1201 0.0000 0.4406
Ho2 0.1294 0.0000 0.8999
Ho3 0.1553 0.5000 0.2063
Sb1 0.1192 0.5000 0.6794
O1 0.0633 0.0000 0.1959
O2 0.1619 0.5000 0.0126
O3 0.1894 0.5000 0.4092
```

# Ho2SbO2 SCAN PBEsol geometry
# DOS at the Fermi energy ... 1.18 states/eV/cell
data_Ho2SbO2
_cell_length_a 3.7820
_cell_length_b 3.7820
_cell_length_c 13.0679
_cell_angle_alpha 90.00
_cell_angle_beta 90.00
_cell_angle_gamma 90.00
_space_group_name_H-M_alt 'I 4/m m m'
_space_group_IT_number 139
_space_group_name_Hall '-I 4 2'
loop_
_atom_site_label
_atom_site_fract_x
_atom_site_fract_y
_atom_site_fract_z
Ho1 0.0000 0.0000 0.1654
Sb1 0.0000 0.0000 0.5000
O1 0.0000 0.5000 0.2500

# Ho3SbO7 SCAN PBEsol geometry
# DOS at the Fermi energy ... 0.00 states/eV/cell
data_Ho3SbO7
_cell_length_a 7.3530
_cell_length_b 10.4008
_cell_length_c 7.4092
_cell_angle_alpha 90.00
_cell_angle_beta 90.00
_cell_angle_gamma 90.00
_space_group_name_H-M_alt 'C m c m'
_space_group_IT_number 63
_space_group_name_Hall '-C 2c 2'
loop_
_atom_site_label
_atom_site_fract_x
_atom_site_fract_y
_atom_site_fract_z
Ho1 0.0000 0.0000 0.0000
Ho2 0.2337 0.2661 0.2500
Sb1 0.0000 0.5000 0.0000
O1 0.0000 0.1302 0.7500
O2 0.0000 0.1368 0.2500
O3 0.0000 0.4272 0.2500
O4 0.1997 0.3748 0.5302

# Ho2Se3O12 SCAN PBEsol geometry
# Energy above the lowest structure with this stoichiometry ... 0.0261 eV/atom
# DOS at the Fermi energy ... 0.00 states/eV/cell
data_Ho2Se3O12
_cell_length_a 7.0170
_cell_length_b 11.3754
_cell_length_c 11.1020
_cell_angle_alpha 90.00
_cell_angle_beta 108.36
_cell_angle_gamma 90.00
_space_group_name_H-M_alt 'C 1 2/c 1'
_space_group_IT_number 15
loop_
_space_group_symop_operation_xyz
'x,y,z'
'-x,-y,-z'
'-x,y,-z+1/2'
'x,-y,z+1/2'
'x+1/2,y+1/2,z'
'-x+1/2,-y+1/2,-z'
'-x+1/2,y+1/2,-z+1/2'
'x+1/2,-y+1/2,z+1/2'
loop_
_atom_site_label
_atom_site_fract_x
_atom_site_fract_y
_atom_site_fract_z
Ho1 0.1738 0.1251 0.0922
Se1 0.0000 0.1329 0.7500
Se2 0.1670 0.3807 0.5763
O1 0.0078 0.0516 0.8793
O2 0.0468 0.2994 0.9565
O3 0.1222 0.1963 0.3940
O4 0.1520 0.4670 0.4542
O5 0.1840 0.4474 0.7125
O6 0.2097 0.2095 0.7881

no.,raw formation energy (eV/atom),uncorrected energy (eV per atom),total moment (μB per cell)
1,-3.14,-32.1233,0.000
2,-3.01,-32.5455,0.000
3,-3.29,-24.0013,0.000
4,-1.72,-15.4262,0.000